No. 1
Below is a geometry-optimized YCoIr structure, with properties calculated at the PBE level.

Unit cell a=4.3266 b=4.3266 c=4.3266 alpha=60.00 beta=60.00 gamma=60.00
Last column: nearest neighbours and their distance in Å.
Fractional coordinates of all 3 atoms:
Ir 0.0000 0.0000 0.0000  4 Co 2.65
Co 0.7500 0.7500 0.7500  4 Ir 2.65, 4 Y 2.65
Y 0.5000 0.5000 0.5000  4 Co 2.65

## Properties
D(E_F) (states/eV per cell): 3.34
ΔE_f (eV/atom): -0.032
VASP energy (eV/atom): -7.51
Volume (Å³/cell): 57
Space-group type: F-43m, No. 216
Total moment (μB/f.u.): 1.7


No. 2
Below is a geometry-optimized YCoIr structure, with properties calculated at the PBE level.

Unit cell a=4.4567 b=4.4567 c=4.4567 alpha=60.00 beta=60.00 gamma=60.00
Last column: nearest neighbours and their distance in Å.
Fractional coordinates of all 3 atoms:
Y 0.7500 0.7500 0.7500  4 Co 2.73, 4 Ir 2.73
Ir 0.5000 0.5000 0.5000  4 Y 2.73
Co 0.0000 0.0000 0.0000  4 Y 2.73

## Properties
D(E_F) (states/eV per cell): 7.33
ΔE_f (eV/atom): 0.667
VASP energy (eV/atom): -6.81
Volume (Å³/cell): 63
Space-group type: F-43m, No. 216
Total moment (μB/f.u.): 1.4


No. 3
Below is a geometry-optimized YCo2Ir structure, with properties calculated at the PBE level.

Unit cell a=4.9024 b=4.9024 c=4.9024 alpha=132.41 beta=132.41 gamma=69.59
Last column: nearest neighbours and their distance in Å.
Fractional coordinates of all 4 atoms:
Co 0.2500 0.7500 0.5000  4 Y 2.80, 4 Co 2.82, 4 Ir 2.82
Co 0.0000 0.0000 0.0000  4 Ir 2.80, 4 Co 2.82, 4 Y 2.82
Ir 0.5000 0.5000 0.0000  8 Co 2.80-2.82, 4 Y 2.82
Y 0.7500 0.2500 0.5000  8 Co 2.80-2.82, 4 Ir 2.82

## Properties
D(E_F) (states/eV per cell): 6.65
Energy above the lowest structure with this stoichiometry (meV/atom): 273
ΔE_f (eV/atom): 0.056
VASP energy (eV/atom): -7.33
Volume (Å³/cell): 63
Space-group type: I-4m2, No. 119
Total moment (μB/f.u.): 3.4


No. 4
Below is a geometry-optimized Y6Co2Ir structure, with properties calculated at the PBE level.

Unit cell a=8.1954 b=8.1954 c=8.1954 alpha=108.28 beta=110.33 gamma=109.81
Last column: nearest neighbours and their distance in Å.
Fractional coordinates of all 18 atoms:
Co 0.5000 0.3871 0.8871  1 Co 2.17
Co 0.6630 0.0000 0.6630  8 Y 2.83-2.91, 1 Co 3.05, 1 Ir 3.16
Co 0.5000 0.6129 0.1129  1 Co 2.17
Co 0.3370 0.0000 0.3370  8 Y 2.83-2.91, 1 Co 3.05, 1 Ir 3.16
Y 0.6865 0.0141 0.3275  3 Co 2.71-2.86
Y 0.3135 0.6410 0.3275  3 Co 2.71-2.86
Y 0.5594 0.7358 0.8236  3 Co 2.91-2.97, 1 Ir 2.99
Y 0.8150 0.7448 0.5597  1 Co 2.83, 2 Ir 2.92-3.00
Y 0.1850 0.7448 0.9298  1 Co 2.83, 2 Ir 2.92-3.00
Y 0.6865 0.3590 0.6725  3 Co 2.71-2.86
Y 0.3135 0.9859 0.6725  3 Co 2.71-2.86
Y 0.9122 0.7358 0.1764  3 Co 2.91-2.97, 1 Ir 2.99
Y 0.4406 0.2642 0.1764  3 Co 2.91-2.97, 1 Ir 2.99
Y 0.8150 0.2552 0.0702  1 Co 2.83, 2 Ir 2.92-3.00
Y 0.1850 0.2552 0.4403  1 Co 2.83, 2 Ir 2.92-3.00
Y 0.0878 0.2642 0.8236  3 Co 2.91-2.97, 1 Ir 2.99
Ir 0.0000 0.0000 0.0000  8 Y 2.99-3.00, 2 Co 3.16
Ir 0.0000 0.5000 0.5000  4 Y 2.92

## Properties
D(E_F) (states/eV per cell): 18.34
ΔE_f (eV/atom): -0.318
VASP energy (eV/atom): -7.19
Volume (Å³/cell): 424
Space-group type: Immm, No. 71
Total moment (μB/f.u.): 0.0


No. 5
Below is a geometry-optimized YCo2Ir structure, with properties calculated at the PBE level.

Unit cell a=5.3595 b=5.3595 c=5.3595 alpha=45.82 beta=45.82 gamma=45.82
Last column: nearest neighbours and their distance in Å.
Fractional coordinates of all 4 atoms:
Co 0.2505 0.2505 0.2505  3 Co 2.43, 3 Ir 2.44
Co 0.9393 0.9393 0.9393  3 Co 2.43, 3 Ir 2.51, 1 Y 2.69
Y 0.7521 0.7521 0.7521  1 Co 2.69, 1 Ir 2.79
Ir 0.5581 0.5581 0.5581  6 Co 2.44-2.51

## Properties
D(E_F) (states/eV per cell): 3.63
Energy above the lowest structure with this stoichiometry (meV/atom): 23
ΔE_f (eV/atom): -0.194
VASP energy (eV/atom): -7.58
Volume (Å³/cell): 72
Space-group type: R3m, No. 160
Total moment (μB/f.u.): 2.9


No. 6
Below is a geometry-optimized Y2CoIr structure, with properties calculated at the PBE level.

Unit cell a=6.2373 b=6.2373 c=4.4589 alpha=69.09 beta=69.09 gamma=30.71
Last column: nearest neighbours and their distance in Å.
Fractional coordinates of all 4 atoms:
Co 0.5379 0.5379 0.4624  2 Ir 2.50
Y 0.9851 0.9851 0.0150  4 Co 2.84
Y 0.7717 0.7717 0.7282  4 Ir 2.87
Ir 0.2053 0.2053 0.2944  2 Co 2.50

## Properties
D(E_F) (states/eV per cell): 2.88
ΔE_f (eV/atom): -0.275
VASP energy (eV/atom): -7.50
Volume (Å³/cell): 82
Space-group type: Imm2, No. 44
Total moment (μB/f.u.): 0.9


Question: Among the records above, which one has the lowest total moment?
Answer: Y6Co2Ir


Copy entry 3 word for word.
Below is a geometry-optimized YCo2Ir structure, with properties calculated at the PBE level.

Unit cell a=4.9024 b=4.9024 c=4.9024 alpha=132.41 beta=132.41 gamma=69.59
Last column: nearest neighbours and their distance in Å.
Fractional coordinates of all 4 atoms:
Co 0.2500 0.7500 0.5000  4 Y 2.80, 4 Co 2.82, 4 Ir 2.82
Co 0.0000 0.0000 0.0000  4 Ir 2.80, 4 Co 2.82, 4 Y 2.82
Ir 0.5000 0.5000 0.0000  8 Co 2.80-2.82, 4 Y 2.82
Y 0.7500 0.2500 0.5000  8 Co 2.80-2.82, 4 Ir 2.82

## Properties
D(E_F) (states/eV per cell): 6.65
Energy above the lowest structure with this stoichiometry (meV/atom): 273
ΔE_f (eV/atom): 0.056
VASP energy (eV/atom): -7.33
Volume (Å³/cell): 63
Space-group type: I-4m2, No. 119
Total moment (μB/f.u.): 3.4


Question: Which of these has the lowest ΔE_f?
Answer: Y6Co2Ir